Run i
Here is a geometry-optimized BaTaI3 structure from Alexandria via LeMat-Bulk. Energies are from PBE.

Geometry as extended XYZ:
```
5
Lattice="-0.5587 -2.7263 6.0619 -1.6308 -5.8411 -2.7773 6.4436 -1.7147 -0.1773" Properties=species:S:1:pos:R:3 pbc="T T T"
Ta 2.1270 -5.1411 1.5537
I 3.2218 -0.8574 -0.0886
I -0.2794 -1.3631 3.0310
I -0.8154 -2.9206 -1.3886
Ba 0.0000 0.0000 0.0000
```

Properties
ρ = 3.91 g/cm3
Total magnetic moment = 4.0 μB/f.u.
Symmetry = Pm-3m (221)
N(E_F) = 8.741 states/eV/atom

=====

Run ii
Here is a geometry-optimized BaTaI3 structure from Alexandria via LeMat-Bulk. Energies are from PBE.

Geometry as extended XYZ:
```
5
Lattice="-2.8381 3.3056 3.7110 2.1480 -3.0378 4.3487 4.4816 3.5494 0.2658" Properties=species:S:1:pos:R:3 pbc="T T T"
I 1.0740 -1.5189 2.1744
I -1.4191 1.6528 1.8555
Ba 1.8958 1.9086 4.1628
I 2.2408 1.7747 0.1329
Ta 0.0000 0.0000 0.0000
```

Properties
ρ = 6.19 g/cm3
Total magnetic moment = 3.2 μB/f.u.
Symmetry = Pm-3m (221)
N(E_F) = 0.609 states/eV/atom

=====

Q: Which of them is the least stable? A: run i.

=====

Run i
Here is a geometry-optimized BaTaI2 structure from Alexandria via LeMat-Bulk. Energies are from PBE.

Geometry as extended XYZ:
```
8
Lattice="5.9550 0.0000 0.0000 0.0000 5.9550 0.0000 2.9775 2.9775 9.2331" Properties=species:S:1:pos:R:3 pbc="T T T"
I 4.9353 1.4888 2.3083
I 4.4663 3.9973 6.9248
Ta 5.9550 2.9775 4.6165
Ta 0.0000 0.0000 0.0000
I 1.0198 4.4663 2.3083
Ba 2.9775 5.9550 4.6165
I 7.4438 7.9128 6.9248
Ba 2.9775 2.9775 0.0000
```

Properties
ρ = 5.80 g/cm3
Total magnetic moment = 3.5 μB/f.u.
Symmetry = I-42d (122)
N(E_F) = 0.988 states/eV/atom

=====

Run ii
Here is a geometry-optimized BaTaI2 structure from Alexandria via LeMat-Bulk. Energies are from PBE.

Geometry as extended XYZ:
```
4
Lattice="-2.4060 -3.1930 3.8817 -5.4488 -1.1268 -0.3045 -1.7137 -5.1424 -1.2925" Properties=species:S:1:pos:R:3 pbc="T T T"
I -7.1765 -7.0967 1.7135
Ta -4.7843 -4.7312 1.1423
Ba 0.0000 0.0000 0.0000
I -2.3922 -2.3656 0.5712
```

Properties
ρ = 7.76 g/cm3
Total magnetic moment = 0.8 μB/f.u.
Symmetry = Fm-3m (225)
N(E_F) = 1.401 states/eV/atom

=====

Q: Which of them is the least stable? A: run ii.

=====

Run i
Here is a geometry-optimized Ba2TcI structure from Alexandria via LeMat-Bulk. Energies are from PBE.

Geometry as extended XYZ:
```
4
Lattice="0.0000 4.1625 4.1625 4.1625 0.0000 4.1625 4.1625 4.1625 0.0000" Properties=species:S:1:pos:R:3 pbc="T T T"
I 4.1625 4.1625 4.1625
Ba 2.0813 2.0813 2.0813
Tc 0.0000 0.0000 0.0000
Ba 6.2438 6.2438 6.2438
```

Properties
ρ = 5.75 g/cm3
Total magnetic moment = 2.0 μB/f.u.
Symmetry = Fm-3m (225)
N(E_F) = 1.142 states/eV/atom

=====

Run ii
Here is a geometry-optimized Ba2TcI structure from Alexandria via LeMat-Bulk. Energies are from PBE.

Geometry as extended XYZ:
```
8
Lattice="-2.9262 -8.0572 1.8884 8.2078 -3.0813 -0.4284 3.1724 -4.7523 5.0392" Properties=species:S:1:pos:R:3 pbc="T T T"
Tc 7.0105 -6.7014 2.6704
I 1.4435 -9.1894 3.8288
Ba 5.4370 -4.4521 1.3057
Ba 0.1105 -6.2779 2.3089
I 0.0000 0.0000 0.0000
Ba 4.6972 -7.8678 4.3093
Ba 6.6635 -13.1838 5.0745
Tc 2.6408 -5.5692 0.7300
```

Properties
ρ = 4.87 g/cm3
Total magnetic moment = 2.0 μB/f.u.
Symmetry = I-42d (122)
N(E_F) = 0.756 states/eV/atom

=====

Q: Which of them is the least stable? A: run ii.

=====

Run i
Here is a geometry-optimized BaTcI3 structure from Alexandria via LeMat-Bulk. Energies are from PBE.

Geometry as extended XYZ:
```
5
Lattice="5.5879 0.0000 0.0000 0.0000 5.5879 0.0000 0.0000 0.0000 5.5879" Properties=species:S:1:pos:R:3 pbc="T T T"
Ba 2.7939 2.7939 2.7939
I 0.0000 2.7939 0.0000
I 0.0000 0.0000 2.7939
Tc 0.0000 0.0000 0.0000
I 2.7939 0.0000 0.0000
```

Properties
ρ = 5.86 g/cm3
Total magnetic moment = 2.0 μB/f.u.
Symmetry = Pm-3m (221)
N(E_F) = 1.433 states/eV/atom

=====

Run ii
Here is a geometry-optimized BaTcI3 structure from Alexandria via LeMat-Bulk. Energies are from PBE.

Geometry as extended XYZ:
```
5
Lattice="6.7069 0.0000 0.0000 0.0000 6.7069 0.0000 0.0000 0.0000 6.7069" Properties=species:S:1:pos:R:3 pbc="T T T"
I 0.0000 0.0000 3.3535
Ba 0.0000 0.0000 0.0000
Tc 3.3535 3.3535 3.3535
I 0.0000 3.3535 0.0000
I 3.3535 0.0000 0.0000
```

Properties
ρ = 3.39 g/cm3
Total magnetic moment = 6.0 μB/f.u.
Symmetry = Pm-3m (221)
N(E_F) = 0.000 states/eV/atom

=====

Q: Which of them is the least stable? A: run ii.